! Th2MgAu6 GGA-PBE optimized geometry; values from VASP
! ΔH_f (0 K): -576 meV per atom
! Space group: No. 164
&SYSTEM
  ibrav = 0, nat = 9, ntyp = 3
/
ATOMIC_SPECIES
Th 232.04 Th.upf
Mg 24.30 Mg.upf
Au 196.97 Au.upf
CELL_PARAMETERS angstrom
5.3587 0.0000 0.0000
0.0000 5.6690 -3.2730
0.0000 0.0000 6.5460
ATOMIC_POSITIONS crystal
Th 0.3192 0.6667 0.3333
Th 0.6808 0.3333 0.6667
Mg 0.5000 0.0000 0.0000
Au 0.8093 0.8154 0.6309
Au 0.8093 0.8154 0.1846
Au 0.1907 0.6309 0.8154
Au 0.8093 0.3691 0.1846
Au 0.1907 0.1846 0.8154
Au 0.1907 0.1846 0.3691

---

! MnAlVCo GGA-PBE optimized geometry; values from VASP
! Relative energy among the computed polymorphs: 6.6 kJ/mol of formula units
! ΔH_f (0 K): -369 meV per atom
! Space group: No. 99
&SYSTEM
  ibrav = 0, nat = 4, ntyp = 4
/
ATOMIC_SPECIES
Mn 54.94 Mn.upf
Al 26.98 Al.upf
V 50.94 V.upf
Co 58.93 Co.upf
CELL_PARAMETERS angstrom
-0.4615 -1.7663 2.2386
2.2192 -1.6464 -0.8415
3.5398 3.1342 3.2027
ATOMIC_POSITIONS crystal
Mn 0.0000 0.0000 0.3409
Al 0.5000 0.5000 0.6081
V 0.5000 0.5000 0.1199
Co 0.0000 0.0000 0.8591

---

! TeAs2PSe GGA-PBE optimized geometry; values from VASP
! Relative energy among the computed polymorphs: 362.5 kJ/mol of formula units
! Energy relative to the elements, uncorrected: 129 kJ per mole of atoms
! Space group: No. 123
&SYSTEM
  ibrav = 0, nat = 5, ntyp = 4
/
ATOMIC_SPECIES
P 30.97 P.upf
As 74.92 As.upf
Te 127.60 Te.upf
Se 78.96 Se.upf
CELL_PARAMETERS angstrom
-0.1574 -2.1424 4.8856
3.3644 -3.8330 -1.5724
4.0414 2.9612 1.4288
ATOMIC_POSITIONS crystal
P 0.5000 0.5000 0.5000
As 0.0000 0.5000 0.0000
As 0.5000 0.0000 0.0000
Te 0.0000 0.0000 0.0000
Se 0.0000 0.0000 0.5000

---

! DyAg2O3 GGA-PBE optimized geometry; values from VASP
! Energy relative to the elements, uncorrected: -88 kJ per mole of atoms
! Space group: No. 63
&SYSTEM
  ibrav = 0, nat = 12, ntyp = 3
/
ATOMIC_SPECIES
Dy 162.50 Dy.upf
Ag 107.87 Ag.upf
O 16.00 O.upf
CELL_PARAMETERS angstrom
-1.4501 -4.5661 -1.9155
5.8041 -2.5017 1.5698
-5.1175 -0.0643 4.0271
ATOMIC_POSITIONS crystal
Dy 0.2500 0.2551 0.7449
Dy 0.7500 0.7449 0.2551
Ag 0.0000 0.2521 0.2521
Ag 0.5000 0.2521 0.2521
Ag 0.0000 0.7479 0.7479
Ag 0.5000 0.7479 0.7479
O 0.7500 0.1332 0.8668
O 0.7500 0.1252 0.4250
O 0.2500 0.4250 0.1252
O 0.7500 0.5750 0.8748
O 0.2500 0.8748 0.5750
O 0.2500 0.8668 0.1332

---

! LaCu4Pd GGA-PBE optimized geometry; values from VASP
! ΔH_f (0 K): -281 meV per atom
! Space group: No. 216
&SYSTEM
  ibrav = 0, nat = 6, ntyp = 3
/
ATOMIC_SPECIES
Cu 63.55 Cu.upf
Pd 106.42 Pd.upf
La 138.91 La.upf
CELL_PARAMETERS angstrom
-3.9179 2.2730 -2.3771
-3.6549 -2.8321 -2.1881
-4.6817 -0.1652 2.0545
ATOMIC_POSITIONS crystal
Cu 0.6266 0.6266 0.1202
Cu 0.6266 0.1202 0.6266
Cu 0.6266 0.6266 0.6266
Cu 0.1202 0.6266 0.6266
Pd 0.0000 0.0000 0.0000
La 0.2500 0.2500 0.2500

---

! Ca3CuW GGA-PBE optimized geometry; values from VASP
! Relative energy among the computed polymorphs: 0.0 kJ/mol of formula units
! ΔH_f (0 K): 1006 meV per atom
! Space group: No. 221
&SYSTEM
  ibrav = 0, nat = 5, ntyp = 3
/
ATOMIC_SPECIES
Ca 40.08 Ca.upf
Cu 63.55 Cu.upf
W 183.84 W.upf
CELL_PARAMETERS angstrom
-3.4689 0.9565 -4.0172
-1.9169 -5.0199 0.4601
-3.6576 1.7238 3.5689
ATOMIC_POSITIONS crystal
Ca 0.0000 0.5000 0.0000
Ca 0.0000 0.0000 0.5000
Ca 0.5000 0.0000 0.0000
Cu 0.0000 0.0000 0.0000
W 0.5000 0.5000 0.5000

---

! HfMnMo GGA-PBE optimized geometry; values from VASP
! Relative energy among the computed polymorphs: 38.1 kJ/mol of formula units
! ΔH_f (0 K): -55 meV per atom
! Space group: No. 107
&SYSTEM
  ibrav = 0, nat = 3, ntyp = 3
/
ATOMIC_SPECIES
Mo 95.94 Mo.upf
Mn 54.94 Mn.upf
Hf 178.49 Hf.upf
CELL_PARAMETERS angstrom
3.1112 0.0000 0.0000
0.0000 3.1112 0.0000
-1.5556 -1.5556 4.9052
ATOMIC_POSITIONS crystal
Mo 0.3182 0.3182 0.6364
Mn 0.6759 0.6759 0.3519
Hf 0.0059 0.0059 0.0118

---

! SrTl3Sb2Se6 GGA-PBE optimized geometry; values from VASP
! Energy relative to the elements, uncorrected: -58 kJ per mole of atoms
! Space group: No. 12
&SYSTEM
  ibrav = 0, nat = 12, ntyp = 4
/
ATOMIC_SPECIES
Sr 87.62 Sr.upf
Tl 204.38 Tl.upf
Sb 121.76 Sb.upf
Se 78.96 Se.upf
CELL_PARAMETERS angstrom
-3.6758 6.3865 -0.9296
-1.6890 -5.8547 -4.2465
-3.2834 -2.3548 6.7239
ATOMIC_POSITIONS crystal
Sr 0.0000 0.0000 0.0000
Tl 0.1582 0.8418 0.5000
Tl 0.8418 0.1582 0.5000
Tl 0.5000 0.5000 0.5000
Sb 0.3332 0.6668 0.0000
Sb 0.6668 0.3332 0.0000
Se 0.9233 0.5704 0.7773
Se 0.7152 0.7152 0.2110
Se 0.0767 0.4296 0.2227
Se 0.5704 0.9233 0.7773
Se 0.2848 0.2848 0.7890
Se 0.4296 0.0767 0.2227

---

In the order shown, the computed DOS(E_F) values come out to 4.7 1.0 7.2 3.5 3.4 2.5 1.9 6.0 states/eV/f.u..